First-principles (PBE-GGA) data for an optimized crystal structure of Zn2RuRh2, as listed in Alexandria.

Its density of states at the Fermi level is 7.55 states/eV/cell. The value obtained for the formation enthalpy at 0 K is 105 meV/atom. The value obtained for the total energy is -26.00 eV/f.u.

Unit cell a=7.080 b=7.080 c=2.942 alpha=90.00 beta=90.00 gamma=90.00
Fractional coordinates of all 10 atoms:
Rh1 0.635 0.135 0.000
Rh2 0.135 0.365 0.000
Zn1 0.664 0.836 0.500
Zn2 0.336 0.164 0.500
Rh3 0.865 0.635 0.000
Ru1 0.000 0.000 0.000
Zn3 0.164 0.664 0.500
Zn4 0.836 0.336 0.500
Rh4 0.365 0.865 0.000
Ru2 0.500 0.500 0.000